Record 1
CoAg7F12 | GGA+U | relaxed

a = 7.783 Å, b = 7.783 Å, c = 7.783 Å
α = 112.85°, β = 112.85°, γ = 112.85°
Fractional coordinates of all 20 atoms:
1 Co 0.000 0.000 0.000
2 Ag 0.102 0.707 0.242
3 Ag 0.242 0.102 0.707
4 Ag 0.293 0.758 0.898
5 Ag 0.500 0.500 0.500
6 Ag 0.707 0.242 0.102
7 Ag 0.758 0.898 0.293
8 Ag 0.898 0.293 0.758
9 F 0.079 0.314 0.137
10 F 0.137 0.079 0.314
11 F 0.216 0.777 0.610
12 F 0.223 0.390 0.784
13 F 0.314 0.137 0.079
14 F 0.390 0.784 0.223
15 F 0.610 0.216 0.777
16 F 0.686 0.863 0.921
17 F 0.777 0.610 0.216
18 F 0.784 0.223 0.390
19 F 0.863 0.921 0.686
20 F 0.921 0.686 0.863

Values from the calculation:
- Magnetization: 0.125 μB per atom
- Space-group type: No. 148
- Total DFT energy (no corrections): -71.23 eV/cell

---

Record 2
CoAgF3 | GGA+U | relaxed

a = 4.361 Å, b = 4.361 Å, c = 4.361 Å
α = 90.00°, β = 90.00°, γ = 90.00°
Fractional coordinates of all 5 atoms:
1 Co 0.000 0.000 0.000
2 Ag 0.500 0.500 0.500
3 F 0.000 0.500 0.500
4 F 0.500 0.000 0.500
5 F 0.500 0.500 0.000

Values from the calculation:
- Magnetization: 0.546 μB per atom
- Space-group type: No. 221
- Total DFT energy (no corrections): -16.74 eV/cell

---

Record 3
CoAg3F7 | GGA+U | relaxed

a = 5.353 Å, b = 5.353 Å, c = 5.353 Å
α = 90.41°, β = 90.41°, γ = 90.41°
Fractional coordinates of all 11 atoms:
1 Co 0.000 0.000 0.000
2 Ag 0.050 0.526 0.526
3 Ag 0.526 0.050 0.526
4 Ag 0.526 0.526 0.050
5 F 0.250 0.779 0.779
6 F 0.262 0.262 0.869
7 F 0.262 0.869 0.262
8 F 0.779 0.250 0.779
9 F 0.779 0.779 0.250
10 F 0.781 0.781 0.781
11 F 0.869 0.262 0.262

Values from the calculation:
- Magnetization: 0.464 μB per atom
- Space-group type: No. 160
- Total DFT energy (no corrections): -41.05 eV/cell

---

Record 4
CoAgF2 | GGA+U | relaxed

a = 9.272 Å, b = 9.272 Å, c = 9.272 Å
α = 18.92°, β = 18.92°, γ = 18.92°
Fractional coordinates of all 4 atoms:
1 Co 0.000 0.000 0.000
2 Ag 0.500 0.500 0.500
3 F 0.371 0.371 0.371
4 F 0.629 0.629 0.629

Values from the calculation:
- Magnetization: 0.747 μB per atom
- Space-group type: No. 166
- Offset from the most stable computed form: 0.0 kJ/mol of formula units

---

Record 5
CoAgF2 | GGA+U | relaxed

a = 6.060 Å, b = 6.060 Å, c = 6.060 Å
α = 123.79°, β = 123.79°, γ = 83.56°
Fractional coordinates of all 8 atoms:
1 Co 0.000 0.000 0.000
2 Co 0.750 0.250 0.500
3 Ag 0.250 0.750 0.500
4 Ag 0.500 0.500 0.000
5 F 0.375 0.247 0.372
6 F 0.753 0.125 0.128
7 F 0.875 0.003 0.628
8 F 0.997 0.625 0.872

Values from the calculation:
- Magnetization: 0.748 μB per atom
- Space-group type: No. 122
- Offset from the most stable computed form: 122.8 kJ/mol of formula units

---

Record 6
CoAg2F4 | GGA+U | relaxed

a = 5.585 Å, b = 12.837 Å, c = 5.644 Å
α = 90.00°, β = 90.00°, γ = 90.00°
Fractional coordinates of all 28 atoms:
1 Co 0.000 0.000 0.000
2 Co 0.000 0.500 0.500
3 Co 0.500 0.000 0.500
4 Co 0.500 0.500 0.000
5 Ag 0.033 0.163 0.490
6 Ag 0.033 0.337 0.990
7 Ag 0.467 0.663 0.490
8 Ag 0.467 0.837 0.990
9 Ag 0.533 0.163 0.010
10 Ag 0.533 0.337 0.510
11 Ag 0.967 0.663 0.010
12 Ag 0.967 0.837 0.510
13 F 0.021 0.656 0.575
14 F 0.021 0.844 0.075
15 F 0.193 0.528 0.194
16 F 0.193 0.972 0.694
17 F 0.307 0.028 0.194
18 F 0.307 0.472 0.694
19 F 0.479 0.156 0.575
20 F 0.479 0.344 0.075
21 F 0.521 0.656 0.925
22 F 0.521 0.844 0.425
23 F 0.693 0.528 0.306
24 F 0.693 0.972 0.806
25 F 0.807 0.028 0.306
26 F 0.807 0.472 0.806
27 F 0.979 0.156 0.925
28 F 0.979 0.344 0.425

Values from the calculation:
- Magnetization: 0.430 μB per atom
- Space-group type: No. 61
- Total DFT energy (no corrections): -113.72 eV/cell

---

Record 7
CoAg3F | GGA+U | relaxed

a = 4.575 Å, b = 4.575 Å, c = 4.575 Å
α = 90.00°, β = 90.00°, γ = 90.00°
Fractional coordinates of all 5 atoms:
1 Co 0.000 0.000 0.000
2 Ag 0.000 0.500 0.500
3 Ag 0.500 0.000 0.500
4 Ag 0.500 0.500 0.000
5 F 0.500 0.500 0.500

Values from the calculation:
- Magnetization: 0.427 μB per atom
- Space-group type: No. 221
- Offset from the most stable computed form: 0.0 kJ/mol of formula units

---

Record 8
CoAg3F | GGA+U | relaxed

a = 4.845 Å, b = 4.845 Å, c = 4.845 Å
α = 90.00°, β = 90.00°, γ = 90.00°
Fractional coordinates of all 5 atoms:
1 Co 0.000 0.000 0.000
2 Ag 0.000 0.000 0.500
3 Ag 0.000 0.500 0.000
4 Ag 0.500 0.000 0.000
5 F 0.500 0.500 0.500

Values from the calculation:
- Magnetization: 0.481 μB per atom
- Space-group type: No. 221
- Offset from the most stable computed form: 180.8 kJ/mol of formula units

---

Please write out number 7 again, unchanged.
CoAg3F | GGA+U | relaxed

a = 4.575 Å, b = 4.575 Å, c = 4.575 Å
α = 90.00°, β = 90.00°, γ = 90.00°
Fractional coordinates of all 5 atoms:
1 Co 0.000 0.000 0.000
2 Ag 0.000 0.500 0.500
3 Ag 0.500 0.000 0.500
4 Ag 0.500 0.500 0.000
5 F 0.500 0.500 0.500

Values from the calculation:
- Magnetization: 0.427 μB per atom
- Space-group type: No. 221
- Offset from the most stable computed form: 0.0 kJ/mol of formula units